#w
The following is a DFT calculation (GGA-PBE) of GePbS2Cl after structural relaxation.

abc: 5.0448 5.0448 5.0283
angles: 90.00 90.00 90.00
Fractional positions:
Pb 0.5000 0.5000 0.5000
Ge 0.0000 0.0000 0.0000
S 0.0000 0.5000 0.0000
S 0.5000 0.0000 0.0000
Cl 0.0000 0.0000 0.5000

Properties
- total magnetic moment (μB/cell) = 0.000


#x
The following is a DFT calculation (GGA-PBE) of GePbS2Cl after structural relaxation.

abc: 5.5161 5.5161 5.2934
angles: 90.00 90.00 90.00
Fractional positions:
Pb 0.0000 0.0000 0.0000
Ge 0.5000 0.5000 0.5000
S 0.0000 0.5000 0.0000
S 0.5000 0.0000 0.0000
Cl 0.0000 0.0000 0.5000

Properties
- total magnetic moment (μB/cell) = 0.000


Quick one: most stable of them? #w


#w
The following is a DFT calculation (GGA-PBE) of GePdCl2 after structural relaxation.

abc: 4.7342 4.7342 4.7342
angles: 60.00 60.00 60.00
Fractional positions:
Ge 0.0000 0.0000 0.0000
Pd 0.5000 0.5000 0.5000
Cl 0.2500 0.2500 0.2500
Cl 0.7500 0.7500 0.7500

Properties
- total magnetic moment (μB/cell) = 0.000


#x
The following is a DFT calculation (GGA-PBE) of GePdCl2 after structural relaxation.

abc: 4.6468 4.6468 8.7830
angles: 74.66 74.66 90.00
Fractional positions:
Ge 0.5000 0.5000 0.0000
Ge 0.2500 0.7500 0.5000
Pd 0.0000 0.0000 0.0000
Pd 0.7500 0.2500 0.5000
Cl 0.6380 0.1250 0.2500
Cl 0.1120 0.6250 0.2500
Cl 0.3750 0.3620 0.7500
Cl 0.8750 0.8880 0.7500

Properties
- total magnetic moment (μB/cell) = 0.000


#y
The following is a DFT calculation (GGA-PBE) of GePdCl2 after structural relaxation.

abc: 8.7414 8.7414 8.7414
angles: 22.98 22.98 22.98
Last column: magnetic moment on the atom in μB.
Fractional positions:
Ge 0.0000 0.0000 0.0000  0.01
Pd 0.5000 0.5000 0.5000  0.80
Cl 0.8976 0.8976 0.8976  0.15
Cl 0.1024 0.1024 0.1024  0.15

Properties
- total magnetic moment (μB/cell) = 1.193


Quick one: most stable of them? #x


#w
The following is a DFT calculation (GGA-PBE) of GePd2Cl after structural relaxation.

abc: 4.5334 4.5334 4.5334
angles: 60.00 60.00 60.00
Fractional positions:
Ge 0.5000 0.5000 0.5000
Pd 0.2500 0.2500 0.2500
Pd 0.7500 0.7500 0.7500
Cl 0.0000 0.0000 0.0000

Properties
- total magnetic moment (μB/cell) = 0.000


#x
The following is a DFT calculation (GGA-PBE) of GePd2Cl after structural relaxation.

abc: 6.4005 6.4005 6.0953
angles: 58.33 58.33 90.00
Fractional positions:
Ge 0.0000 0.0000 0.0000
Ge 0.7500 0.2500 0.5000
Pd 0.6464 0.1250 0.2500
Pd 0.1036 0.6250 0.2500
Pd 0.3750 0.3536 0.7500
Pd 0.8750 0.8964 0.7500
Cl 0.5000 0.5000 0.0000
Cl 0.2500 0.7500 0.5000

Properties
- total magnetic moment (μB/cell) = 0.000


Quick one: most stable of them? #w


#w
The following is a DFT calculation (GGA-PBE) of GePd3Cl after structural relaxation.

abc: 4.6024 4.6024 4.6024
angles: 90.00 90.00 90.00
Fractional positions:
Ge 0.5000 0.5000 0.5000
Pd 0.0000 0.5000 0.0000
Pd 0.0000 0.0000 0.5000
Pd 0.5000 0.0000 0.0000
Cl 0.0000 0.0000 0.0000

Properties
- total magnetic moment (μB/cell) = 0.000


#x
The following is a DFT calculation (GGA-PBE) of GePd3Cl after structural relaxation.

abc: 4.7057 4.7057 4.7057
angles: 90.00 90.00 90.00
Fractional positions:
Ge 0.0000 0.0000 0.0000
Pd 0.0000 0.5000 0.0000
Pd 0.0000 0.0000 0.5000
Pd 0.5000 0.0000 0.0000
Cl 0.5000 0.5000 0.5000

Properties
- total magnetic moment (μB/cell) = 0.000


Quick one: most stable of them? #x


#w
The following is a DFT calculation (GGA-PBE) of Ge3PdCl after structural relaxation.

abc: 4.8672 4.8672 4.8672
angles: 90.00 90.00 90.00
Fractional positions:
Ge 0.0000 0.5000 0.0000
Ge 0.0000 0.0000 0.5000
Ge 0.5000 0.0000 0.0000
Pd 0.5000 0.5000 0.5000
Cl 0.0000 0.0000 0.0000

Properties
- total magnetic moment (μB/cell) = 0.000


#x
The following is a DFT calculation (GGA-PBE) of Ge3PdCl after structural relaxation.

abc: 4.9368 4.9368 4.9368
angles: 90.00 90.00 90.00
Fractional positions:
Ge 0.0000 0.5000 0.0000
Ge 0.0000 0.0000 0.5000
Ge 0.5000 0.0000 0.0000
Pd 0.0000 0.0000 0.0000
Cl 0.5000 0.5000 0.5000

Properties
- total magnetic moment (μB/cell) = 0.000


Quick one: most stable of them? #x


#w
The following is a DFT calculation (GGA-PBE) of PmPrGeCl after structural relaxation.

abc: 4.9790 5.0309 5.8752
angles: 90.00 90.00 119.66
Fractional positions:
Pm 0.8377 0.6755 0.0000
Pr 0.1683 0.3366 0.5000
Ge 0.1689 0.3377 0.0000
Cl 0.8375 0.6749 0.5000

Properties
- total magnetic moment (μB/cell) = 0.000


#x
The following is a DFT calculation (GGA-PBE) of PmPrGeCl after structural relaxation.

abc: 5.1881 5.1881 5.1881
angles: 60.00 60.00 60.00
Fractional positions:
Pr 0.0000 0.0000 0.0000
Ge 0.2500 0.2500 0.2500
Cl 0.7500 0.7500 0.7500
Pm 0.5000 0.5000 0.5000

Properties
- total magnetic moment (μB/cell) = 0.000


Quick one: most stable of them? #x


#w
The following is a DFT calculation (GGA-PBE) of Ge2PtCl after structural relaxation.

abc: 5.8474 5.8474 7.5289
angles: 67.15 67.15 90.00
Fractional positions:
Ge 0.6929 0.1250 0.2500
Ge 0.0571 0.6250 0.2500
Ge 0.3750 0.3071 0.7500
Ge 0.8750 0.9429 0.7500
Pt 0.0000 0.0000 0.0000
Pt 0.7500 0.2500 0.5000
Cl 0.5000 0.5000 0.0000
Cl 0.2500 0.7500 0.5000

Properties
- total magnetic moment (μB/cell) = 0.000


#x
The following is a DFT calculation (GGA-PBE) of Ge2PtCl after structural relaxation.

abc: 4.6756 4.6756 4.6756
angles: 60.00 60.00 60.00
Fractional positions:
Ge 0.2500 0.2500 0.2500
Ge 0.7500 0.7500 0.7500
Pt 0.5000 0.5000 0.5000
Cl 0.0000 0.0000 0.0000

Properties
- total magnetic moment (μB/cell) = 0.000


#y
The following is a DFT calculation (GGA-PBE) of Ge2PtCl after structural relaxation.

abc: 4.0631 4.0631 7.1990
angles: 73.61 73.61 60.00
Fractional positions:
Ge 0.1197 0.1197 0.6408
Ge 0.8803 0.8803 0.3592
Pt 0.5000 0.5000 0.5000
Cl 0.0000 0.0000 0.0000

Properties
- total magnetic moment (μB/cell) = 0.000


Quick one: most stable of them? #y


#w
The following is a DFT calculation (GGA-PBE) of GePt2Cl after structural relaxation.

abc: 4.5369 4.5369 4.5369
angles: 60.00 60.00 60.00
Fractional positions:
Ge 0.5000 0.5000 0.5000
Pt 0.2500 0.2500 0.2500
Pt 0.7500 0.7500 0.7500
Cl 0.0000 0.0000 0.0000

Properties
- total magnetic moment (μB/cell) = 0.000


#x
The following is a DFT calculation (GGA-PBE) of GePt2Cl after structural relaxation.

abc: 6.3261 6.3261 6.1729
angles: 59.18 59.18 90.00
Fractional positions:
Ge 0.0000 0.0000 0.0000
Ge 0.7500 0.2500 0.5000
Pt 0.6468 0.1250 0.2500
Pt 0.1032 0.6250 0.2500
Pt 0.3750 0.3532 0.7500
Pt 0.8750 0.8968 0.7500
Cl 0.5000 0.5000 0.0000
Cl 0.2500 0.7500 0.5000

Properties
- total magnetic moment (μB/cell) = 0.000


Quick one: most stable of them? #x